Record 1
Below is an optimized crystal structure of DyEr9Th2, with properties calculated at the PBE level.

calculated total energy = -5.01 eV per atom
density = 9.5 Mg/m³
formation energy = 0.0331 eV per atom

Structure (POSCAR):
```
DyEr9Th2
1.0
4.985 0.000 0.000
0.000 4.985 0.000
0.000 0.000 14.924
Dy Er Th
1 9 2
direct
0.000 0.000 0.000
0.500 0.500 0.000
0.500 0.500 0.333
0.500 0.500 0.667
0.500 0.000 0.168
0.500 0.000 0.500
0.500 0.000 0.832
0.000 0.500 0.168
0.000 0.500 0.500
0.000 0.500 0.832
0.000 0.000 0.334
0.000 0.000 0.666
```



Record 2
Below is an optimized crystal structure of Be2Si, with properties calculated at the PBE level.

calculated total energy = -3.95 eV per atom
density = 2.4 Mg/m³
E_form (uncorrected) = 0.34 eV per atom
energy above the lowest structure with this stoichiometry = 0.61 eV/f.u.

Structure (POSCAR):
```
Be2Si
1.0
1.229 5.316 -0.232
-1.229 5.316 -0.232
0.000 1.806 4.769
Be Si
4 2
direct
0.301 0.301 0.616
0.670 0.670 0.963
0.699 0.699 0.384
0.330 0.330 0.037
0.968 0.968 0.266
0.032 0.032 0.734
```



Record 3
Below is an optimized crystal structure of La7Mg2Cd2, with properties calculated at the PBE level.

calculated total energy = -3.48 eV per atom
density = 5.5 Mg/m³
formation energy = 0.1142 eV per atom

Structure (POSCAR):
```
La7Mg2Cd2
1.0
-3.709 -5.582 -2.136
5.154 -5.761 3.414
-2.146 2.709 6.126
La Mg Cd
7 2 2
direct
0.994 0.313 0.467
0.467 0.687 0.994
0.006 0.687 0.533
0.533 0.313 0.006
0.000 0.000 0.000
0.524 0.735 0.476
0.476 0.265 0.524
0.711 0.999 0.289
0.289 0.001 0.711
0.825 0.500 0.825
0.175 0.500 0.175
```